No. 1
# OsRuBr2 (GGA-PBE, optimized geometry)
# - E above lowest polymorph: 964 meV/atom
# - SG: Cmmm
# - Formation energy (no corrections): 1300 meV/atom
data_OsRuBr2
_space_group_name_H-M_alt 'P 1'
_space_group_IT_number 1
_cell_length_a 3.1194
_cell_length_b 3.1194
_cell_length_c 8.7441
_cell_angle_alpha 90.00
_cell_angle_beta 90.00
_cell_angle_gamma 123.70
loop_
_space_group_symop_operation_xyz
'x,y,z'
loop_
_atom_site_label
_atom_site_type_symbol
_atom_site_fract_x
_atom_site_fract_y
_atom_site_fract_z
_atom_site_occupancy
Os1 Os 0.0000 0.0000 0.0000 1
Ru1 Ru 0.0000 0.0000 0.5000 1
Br1 Br 0.5000 0.5000 0.2514 1
Br2 Br 0.5000 0.5000 0.7486 1


No. 2
# OsRuBr3 (GGA-PBE, optimized geometry)
# - E above lowest polymorph: 0 meV/atom
# - SG: Pm-3m
# - Formation energy (no corrections): 1325 meV/atom
data_OsRuBr3
_space_group_name_H-M_alt 'P 1'
_space_group_IT_number 1
_cell_length_a 5.0755
_cell_length_b 5.0755
_cell_length_c 5.0755
_cell_angle_alpha 90.00
_cell_angle_beta 90.00
_cell_angle_gamma 90.00
loop_
_space_group_symop_operation_xyz
'x,y,z'
loop_
_atom_site_label
_atom_site_type_symbol
_atom_site_fract_x
_atom_site_fract_y
_atom_site_fract_z
_atom_site_occupancy
Os1 Os 0.0000 0.0000 0.0000 1
Ru1 Ru 0.5000 0.5000 0.5000 1
Br1 Br 0.0000 0.0000 0.5000 1
Br2 Br 0.0000 0.5000 0.0000 1
Br3 Br 0.5000 0.0000 0.0000 1


No. 3
# OsRuBr (GGA-PBE, optimized geometry)
# - E above lowest polymorph: 264 meV/atom
# - SG: Fmm2
# - Formation energy (no corrections): 1064 meV/atom
data_OsRuBr
_space_group_name_H-M_alt 'P 1'
_space_group_IT_number 1
_cell_length_a 7.5862
_cell_length_b 7.2930
_cell_length_c 2.8862
_cell_angle_alpha 84.59
_cell_angle_beta 73.15
_cell_angle_gamma 22.26
loop_
_space_group_symop_operation_xyz
'x,y,z'
loop_
_atom_site_label
_atom_site_type_symbol
_atom_site_fract_x
_atom_site_fract_y
_atom_site_fract_z
_atom_site_occupancy
Os1 Os 0.0000 0.0000 0.0000 1
Ru1 Ru 0.3535 0.3535 0.6465 1
Br1 Br 0.6872 0.6872 0.3128 1


No. 4
# OsRuBr2 (GGA-PBE, optimized geometry)
# - E above lowest polymorph: 972 meV/atom
# - SG: Pmmm
# - Formation energy (no corrections): 1308 meV/atom
data_OsRuBr2
_space_group_name_H-M_alt 'P 1'
_space_group_IT_number 1
_cell_length_a 2.9415
_cell_length_b 4.3752
_cell_length_c 5.5108
_cell_angle_alpha 90.00
_cell_angle_beta 90.00
_cell_angle_gamma 90.00
loop_
_space_group_symop_operation_xyz
'x,y,z'
loop_
_atom_site_label
_atom_site_type_symbol
_atom_site_fract_x
_atom_site_fract_y
_atom_site_fract_z
_atom_site_occupancy
Os1 Os 0.0000 0.0000 0.0000 1
Ru1 Ru 0.5000 0.0000 0.5000 1
Br1 Br 0.0000 0.5000 0.5000 1
Br2 Br 0.5000 0.5000 0.0000 1


No. 5
# OsRuBr2 (GGA-PBE, optimized geometry)
# - E above lowest polymorph: 0 meV/atom
# - SG: Cm
# - Formation energy (no corrections): 336 meV/atom
data_OsRuBr2
_space_group_name_H-M_alt 'P 1'
_space_group_IT_number 1
_cell_length_a 3.6401
_cell_length_b 3.6401
_cell_length_c 8.6476
_cell_angle_alpha 98.76
_cell_angle_beta 98.76
_cell_angle_gamma 59.10
loop_
_space_group_symop_operation_xyz
'x,y,z'
loop_
_atom_site_label
_atom_site_type_symbol
_atom_site_fract_x
_atom_site_fract_y
_atom_site_fract_z
_atom_site_occupancy
Os1 Os 0.0000 0.0000 0.0000 1
Ru1 Ru 0.6350 0.6350 0.8637 1
Br1 Br 0.2629 0.2629 0.6503 1
Br2 Br 0.5059 0.5059 0.2264 1


No. 6
# Os4RuBr (GGA-PBE, optimized geometry)
# - SG: F-43m
# - Formation energy (no corrections): 1449 meV/atom
data_Os4RuBr
_space_group_name_H-M_alt 'P 1'
_space_group_IT_number 1
_cell_length_a 5.1930
_cell_length_b 5.1930
_cell_length_c 5.1930
_cell_angle_alpha 60.00
_cell_angle_beta 60.00
_cell_angle_gamma 60.00
loop_
_space_group_symop_operation_xyz
'x,y,z'
loop_
_atom_site_label
_atom_site_type_symbol
_atom_site_fract_x
_atom_site_fract_y
_atom_site_fract_z
_atom_site_occupancy
Os1 Os 0.1245 0.1245 0.1245 1
Os2 Os 0.1245 0.1245 0.6266 1
Os3 Os 0.1245 0.6266 0.1245 1
Os4 Os 0.6266 0.1245 0.1245 1
Ru1 Ru 0.7500 0.7500 0.7500 1
Br1 Br 0.5000 0.5000 0.5000 1


No. 7
# OsRuBr2 (GGA-PBE, optimized geometry)
# - E above lowest polymorph: 1136 meV/atom
# - SG: Fm-3m
# - Formation energy (no corrections): 1472 meV/atom
data_OsRuBr2
_space_group_name_H-M_alt 'P 1'
_space_group_IT_number 1
_cell_length_a 4.5451
_cell_length_b 4.5451
_cell_length_c 4.5451
_cell_angle_alpha 60.00
_cell_angle_beta 60.00
_cell_angle_gamma 60.00
loop_
_space_group_symop_operation_xyz
'x,y,z'
loop_
_atom_site_label
_atom_site_type_symbol
_atom_site_fract_x
_atom_site_fract_y
_atom_site_fract_z
_atom_site_occupancy
Os1 Os 0.0000 0.0000 0.0000 1
Ru1 Ru 0.5000 0.5000 0.5000 1
Br1 Br 0.2500 0.2500 0.2500 1
Br2 Br 0.7500 0.7500 0.7500 1


No. 8
# OsRuBr (GGA-PBE, optimized geometry)
# - E above lowest polymorph: 57 meV/atom
# - SG: I4mm
# - Formation energy (no corrections): 857 meV/atom
data_OsRuBr
_space_group_name_H-M_alt 'P 1'
_space_group_IT_number 1
_cell_length_a 6.1402
_cell_length_b 6.1402
_cell_length_c 6.1402
_cell_angle_alpha 152.29
_cell_angle_beta 152.29
_cell_angle_gamma 39.59
loop_
_space_group_symop_operation_xyz
'x,y,z'
loop_
_atom_site_label
_atom_site_type_symbol
_atom_site_fract_x
_atom_site_fract_y
_atom_site_fract_z
_atom_site_occupancy
Os1 Os 0.0000 0.0000 0.0000 1
Ru1 Ru 0.6326 0.6326 0.0000 1
Br1 Br 0.3178 0.3178 0.0000 1


No. 9
# OsRuBr (GGA-PBE, optimized geometry)
# - E above lowest polymorph: 427 meV/atom
# - SG: P3m1
# - Formation energy (no corrections): 1227 meV/atom
data_OsRuBr
_space_group_name_H-M_alt 'P 1'
_space_group_IT_number 1
_cell_length_a 4.2589
_cell_length_b 4.2589
_cell_length_c 2.9918
_cell_angle_alpha 90.00
_cell_angle_beta 90.00
_cell_angle_gamma 120.00
loop_
_space_group_symop_operation_xyz
'x,y,z'
loop_
_atom_site_label
_atom_site_type_symbol
_atom_site_fract_x
_atom_site_fract_y
_atom_site_fract_z
_atom_site_occupancy
Os1 Os 0.0000 0.0000 0.0000 1
Ru1 Ru 0.6667 0.3333 0.4780 1
Br1 Br 0.3333 0.6667 0.7796 1


No. 10
# OsRuBr (GGA-PBE, optimized geometry)
# - E above lowest polymorph: 408 meV/atom
# - SG: F-43m
# - Formation energy (no corrections): 1208 meV/atom
data_OsRuBr
_space_group_name_H-M_alt 'P 1'
_space_group_IT_number 1
_cell_length_a 4.2695
_cell_length_b 4.2695
_cell_length_c 4.2695
_cell_angle_alpha 60.00
_cell_angle_beta 60.00
_cell_angle_gamma 60.00
loop_
_space_group_symop_operation_xyz
'x,y,z'
loop_
_atom_site_label
_atom_site_type_symbol
_atom_site_fract_x
_atom_site_fract_y
_atom_site_fract_z
_atom_site_occupancy
Os1 Os 0.0000 0.0000 0.0000 1
Ru1 Ru 0.7500 0.7500 0.7500 1
Br1 Br 0.2500 0.2500 0.2500 1


No. 11
# OsRuBr2 (GGA-PBE, optimized geometry)
# - E above lowest polymorph: 844 meV/atom
# - SG: R-3m
# - Formation energy (no corrections): 1180 meV/atom
data_OsRuBr2
_space_group_name_H-M_alt 'P 1'
_space_group_IT_number 1
_cell_length_a 8.3467
_cell_length_b 8.3467
_cell_length_c 8.3467
_cell_angle_alpha 21.33
_cell_angle_beta 21.33
_cell_angle_gamma 21.33
loop_
_space_group_symop_operation_xyz
'x,y,z'
loop_
_atom_site_label
_atom_site_type_symbol
_atom_site_fract_x
_atom_site_fract_y
_atom_site_fract_z
_atom_site_occupancy
Os1 Os 0.0000 0.0000 0.0000 1
Ru1 Ru 0.5000 0.5000 0.5000 1
Br1 Br 0.2481 0.2481 0.2481 1
Br2 Br 0.7519 0.7519 0.7519 1


No. 12
# OsRuBr2 (GGA-PBE, optimized geometry)
# - E above lowest polymorph: 445 meV/atom
# - SG: C2/m
# - Formation energy (no corrections): 781 meV/atom
data_OsRuBr2
_space_group_name_H-M_alt 'P 1'
_space_group_IT_number 1
_cell_length_a 7.4284
_cell_length_b 7.4284
_cell_length_c 4.3753
_cell_angle_alpha 91.36
_cell_angle_beta 91.36
_cell_angle_gamma 23.33
loop_
_space_group_symop_operation_xyz
'x,y,z'
loop_
_atom_site_label
_atom_site_type_symbol
_atom_site_fract_x
_atom_site_fract_y
_atom_site_fract_z
_atom_site_occupancy
Os1 Os 0.0000 0.0000 0.0000 1
Ru1 Ru 0.5000 0.5000 0.5000 1
Br1 Br 0.1491 0.1491 0.7480 1
Br2 Br 0.8509 0.8509 0.2520 1


No. 13
# OsRuBr2 (GGA-PBE, optimized geometry)
# - E above lowest polymorph: 1188 meV/atom
# - SG: F-43m
# - Formation energy (no corrections): 1524 meV/atom
data_OsRuBr2
_space_group_name_H-M_alt 'P 1'
_space_group_IT_number 1
_cell_length_a 4.6529
_cell_length_b 4.6529
_cell_length_c 4.6529
_cell_angle_alpha 60.00
_cell_angle_beta 60.00
_cell_angle_gamma 60.00
loop_
_space_group_symop_operation_xyz
'x,y,z'
loop_
_atom_site_label
_atom_site_type_symbol
_atom_site_fract_x
_atom_site_fract_y
_atom_site_fract_z
_atom_site_occupancy
Os1 Os 0.0000 0.0000 0.0000 1
Ru1 Ru 0.7500 0.7500 0.7500 1
Br1 Br 0.2500 0.2500 0.2500 1
Br2 Br 0.5000 0.5000 0.5000 1


No. 14
# OsRuBr2 (GGA-PBE, optimized geometry)
# - E above lowest polymorph: 970 meV/atom
# - SG: P2/m
# - Formation energy (no corrections): 1306 meV/atom
data_OsRuBr2
_space_group_name_H-M_alt 'P 1'
_space_group_IT_number 1
_cell_length_a 3.0992
_cell_length_b 4.3663
_cell_length_c 5.2530
_cell_angle_alpha 90.00
_cell_angle_beta 94.43
_cell_angle_gamma 90.00
loop_
_space_group_symop_operation_xyz
'x,y,z'
loop_
_atom_site_label
_atom_site_type_symbol
_atom_site_fract_x
_atom_site_fract_y
_atom_site_fract_z
_atom_site_occupancy
Os1 Os 0.0000 0.0000 0.0000 1
Ru1 Ru 0.5000 0.0000 0.5000 1
Br1 Br 0.2405 0.5000 0.2501 1
Br2 Br 0.7595 0.5000 0.7499 1


No. 15
# OsRuBr2 (GGA-PBE, optimized geometry)
# - E above lowest polymorph: 214 meV/atom
# - SG: P4mm
# - Formation energy (no corrections): 550 meV/atom
data_OsRuBr2
_space_group_name_H-M_alt 'P 1'
_space_group_IT_number 1
_cell_length_a 3.0236
_cell_length_b 3.0236
_cell_length_c 8.9527
_cell_angle_alpha 90.00
_cell_angle_beta 90.00
_cell_angle_gamma 90.00
loop_
_space_group_symop_operation_xyz
'x,y,z'
loop_
_atom_site_label
_atom_site_type_symbol
_atom_site_fract_x
_atom_site_fract_y
_atom_site_fract_z
_atom_site_occupancy
Os1 Os 0.0000 0.0000 0.0000 1
Ru1 Ru 0.5000 0.5000 0.1657 1
Br1 Br 0.0000 0.0000 0.3802 1
Br2 Br 0.5000 0.5000 0.7867 1


No. 16
# OsRuBr2 (GGA-PBE, optimized geometry)
# - E above lowest polymorph: 1110 meV/atom
# - SG: I-42d
# - Formation energy (no corrections): 1446 meV/atom
data_OsRuBr2
_space_group_name_H-M_alt 'P 1'
_space_group_IT_number 1
_cell_length_a 6.4392
_cell_length_b 6.4392
_cell_length_c 6.4392
_cell_angle_alpha 124.32
_cell_angle_beta 124.32
_cell_angle_gamma 82.67
loop_
_space_group_symop_operation_xyz
'x,y,z'
loop_
_atom_site_label
_atom_site_type_symbol
_atom_site_fract_x
_atom_site_fract_y
_atom_site_fract_z
_atom_site_occupancy
Os1 Os 0.0000 0.0000 0.0000 1
Os2 Os 0.7500 0.2500 0.5000 1
Ru1 Ru 0.2500 0.7500 0.5000 1
Ru2 Ru 0.5000 0.5000 0.0000 1
Br1 Br 0.1234 0.6250 0.9984 1
Br2 Br 0.3750 0.3734 0.4984 1
Br3 Br 0.6266 0.1250 0.0016 1
Br4 Br 0.8750 0.8766 0.5016 1


No. 17
# OsRuBr2 (GGA-PBE, optimized geometry)
# - E above lowest polymorph: 286 meV/atom
# - SG: R3m
# - Formation energy (no corrections): 622 meV/atom
data_OsRuBr2
_space_group_name_H-M_alt 'P 1'
_space_group_IT_number 1
_cell_length_a 10.0160
_cell_length_b 10.0160
_cell_length_c 10.0160
_cell_angle_alpha 17.48
_cell_angle_beta 17.48
_cell_angle_gamma 17.48
loop_
_space_group_symop_operation_xyz
'x,y,z'
loop_
_atom_site_label
_atom_site_type_symbol
_atom_site_fract_x
_atom_site_fract_y
_atom_site_fract_z
_atom_site_occupancy
Os1 Os 0.0000 0.0000 0.0000 1
Ru1 Ru 0.2680 0.2680 0.2680 1
Br1 Br 0.5316 0.5316 0.5316 1
Br2 Br 0.7377 0.7377 0.7377 1


No. 18
# OsRuBr (GGA-PBE, optimized geometry)
# - E above lowest polymorph: 0 meV/atom
# - SG: P3m1
# - Formation energy (no corrections): 800 meV/atom
data_OsRuBr
_space_group_name_H-M_alt 'P 1'
_space_group_IT_number 1
_cell_length_a 2.9354
_cell_length_b 2.9354
_cell_length_c 6.4658
_cell_angle_alpha 90.00
_cell_angle_beta 90.00
_cell_angle_gamma 120.00
loop_
_space_group_symop_operation_xyz
'x,y,z'
loop_
_atom_site_label
_atom_site_type_symbol
_atom_site_fract_x
_atom_site_fract_y
_atom_site_fract_z
_atom_site_occupancy
Os1 Os 0.0000 0.0000 0.0000 1
Ru1 Ru 0.6667 0.3333 0.3029 1
Br1 Br 0.3333 0.6667 0.6455 1


No. 19
# Os3RuBr (GGA-PBE, optimized geometry)
# - E above lowest polymorph: 98 meV/atom
# - SG: Pm-3m
# - Formation energy (no corrections): 2645 meV/atom
data_Os3RuBr
_space_group_name_H-M_alt 'P 1'
_space_group_IT_number 1
_cell_length_a 4.4841
_cell_length_b 4.4841
_cell_length_c 4.4841
_cell_angle_alpha 90.00
_cell_angle_beta 90.00
_cell_angle_gamma 90.00
loop_
_space_group_symop_operation_xyz
'x,y,z'
loop_
_atom_site_label
_atom_site_type_symbol
_atom_site_fract_x
_atom_site_fract_y
_atom_site_fract_z
_atom_site_occupancy
Os1 Os 0.0000 0.0000 0.5000 1
Os2 Os 0.0000 0.5000 0.0000 1
Os3 Os 0.5000 0.0000 0.0000 1
Ru1 Ru 0.5000 0.5000 0.5000 1
Br1 Br 0.0000 0.0000 0.0000 1


No. 20
# OsRuBr2 (GGA-PBE, optimized geometry)
# - E above lowest polymorph: 432 meV/atom
# - SG: Imm2
# - Formation energy (no corrections): 768 meV/atom
data_OsRuBr2
_space_group_name_H-M_alt 'P 1'
_space_group_IT_number 1
_cell_length_a 9.1466
_cell_length_b 9.1466
_cell_length_c 9.1466
_cell_angle_alpha 160.72
_cell_angle_beta 158.19
_cell_angle_gamma 29.27
loop_
_space_group_symop_operation_xyz
'x,y,z'
loop_
_atom_site_label
_atom_site_type_symbol
_atom_site_fract_x
_atom_site_fract_y
_atom_site_fract_z
_atom_site_occupancy
Os1 Os 0.0000 0.0000 0.0000 1
Ru1 Ru 0.4122 0.9122 0.5000 1
Br1 Br 0.5982 0.5982 0.0000 1
Br2 Br 0.8134 0.3134 0.5000 1